# RhSe

Crystalline RhSe at its relaxed geometry (PBE, the Alexandria database).

abc: 7.7724 7.8762 11.7197
angles: 90.00 90.00 90.00
Space group Fddd (No. 70, origin choice 2)
Inequivalent atoms, fractional coordinates:
Rh  0.1250  0.1250  0.0059 [16 per cell]
Se  0.1250  0.3732  0.6250 [16 per cell]

Computed properties:
raw formation energy = -0.196 eV per atom
total magnetization = 0.000 μB per formula unit
uncorrected energy = -5.614 eV/atom